Record 1
The following is a DFT calculation (PBE) of crystalline Tm3Cr5Te12 at its relaxed geometry.

Cell lengths 16.8464, 16.8464, 16.8464 Å; angles 90.00, 90.00, 90.00 degrees
With the nearest neighbours (Å) after each atom.
Space group Ia-3d (No. 230)
Symmetry-distinct sites (fractional):
Tm 0.0000 0.2500 0.1250 x24  8 Te 3.23-3.24
Cr 0.0000 0.0000 0.0000 x16  6 Te 2.76
Cr 0.0000 0.2500 0.3750 x24  4 Te 2.59
Te 0.0264 0.0619 0.6492 x96  2 Cr 2.59-2.76

Output
Its magnetization is 120.0 μB per cell. The volume comes out at 29.9 Å³ per atom. For the energy, the calculation gives -5.398 eV/atom. Its formation energy (no corrections) is -436 meV per atom.


Record 2
The following is a DFT calculation (PBE) of crystalline TmCrTe2 at its relaxed geometry.

Cell lengths 3.9328, 3.9328, 27.1371 Å; angles 90.00, 90.00, 120.00 degrees
With the nearest neighbours (Å) after each atom.
Space group R-3m (No. 166, hexagonal axes)
Symmetry-distinct sites (fractional):
Tm 0.0000 0.0000 0.0000 x3  2 Te 3.00
Cr 0.0000 0.0000 0.5000 x3  6 Te 2.73
Te 0.0000 0.0000 0.1106 x6  3 Cr 2.73, 1 Tm 3.00

Output
Its magnetization is 9.4 μB per cell. The volume comes out at 30.3 Å³ per atom. For the energy, the calculation gives -5.294 eV/atom. Its formation energy (no corrections) is -199 meV per atom.


Record 3
The following is a DFT calculation (PBE) of crystalline V3CrTe8 at its relaxed geometry.

Cell lengths 7.5772, 7.5772, 12.9345 Å; angles 90.00, 90.00, 120.00 degrees
With the nearest neighbours (Å) after each atom.
Space group P6_3mc (No. 186)
Symmetry-distinct sites (fractional):
V 0.1858 0.3716 0.0000 x6  6 Te 2.65-2.83
Cr 0.3333 0.6667 0.2704 x2  6 Te 2.71-2.73
Te 0.0000 0.0000 0.1107 x2  3 V 2.83
Te 0.0102 0.5051 0.1380 x6  2 V 2.71, 1 Cr 2.73
Te 0.1678 0.3355 0.3951 x6  2 V 2.70, 1 Cr 2.71
Te 0.3333 0.6667 0.8597 x2  3 V 2.65

Output
Its magnetization is 12.2 μB per cell. The volume comes out at 26.8 Å³ per atom. For the energy, the calculation gives -5.415 eV/atom. Its formation energy (no corrections) is -239 meV per atom.


Record 4
The following is a DFT calculation (PBE) of crystalline VCr3Te at its relaxed geometry.

Cell lengths 5.1083, 5.1083, 5.1083 Å; angles 90.00, 90.00, 90.00 degrees
With the nearest neighbours (Å) after each atom.
Space group Pm-3m (No. 221)
Symmetry-distinct sites (fractional):
V 0.0000 0.0000 0.0000 x1  12 Cr 3.61
Cr 0.0000 0.5000 0.5000 x3  2 Te 2.55
Te 0.5000 0.5000 0.5000 x1  6 Cr 2.55

Output
The calculation puts the excess energy over the best structure of this formula in the dataset at 0.592 eV per atom. Its magnetization is 16.3 μB per cell. The volume comes out at 26.7 Å³ per atom. For the energy, the calculation gives -6.524 eV/atom. Its formation energy (no corrections) is 1702 meV per atom.


Record 5
The following is a DFT calculation (PBE) of crystalline VCrTe2 at its relaxed geometry.

Cell lengths 6.7834, 6.7834, 6.7834 Å; angles 90.00, 90.00, 90.00 degrees
With the nearest neighbours (Å) after each atom.
Space group Fm-3m (No. 225)
Symmetry-distinct sites (fractional):
V 0.0000 0.0000 0.0000 x4  8 Te 2.94
Cr 0.0000 0.0000 0.5000 x4  8 Te 2.94
Te 0.2500 0.2500 0.2500 x8  4 Cr 2.94, 4 V 2.94

Output
The calculation puts the excess energy over the best structure of this formula in the dataset at 0.134 eV per atom. Its magnetization is 11.1 μB per cell. The volume comes out at 19.5 Å³ per atom. For the energy, the calculation gives -6.028 eV/atom. Its formation energy (no corrections) is 228 meV per atom.


Record 6
The following is a DFT calculation (PBE) of crystalline VCrTe6 at its relaxed geometry.

Cell lengths 6.3933, 6.6233, 6.7165 Å; angles 69.61, 63.33, 62.25 degrees
With the nearest neighbours (Å) after each atom.
Space group P-1 (No. 2)
Symmetry-distinct sites (fractional):
V 0.0000 0.0000 0.0000 x1  6 Te 2.65-2.72
Cr 0.5000 0.5000 0.5000 x1  6 Te 2.70-2.75
Te 0.0344 0.7788 0.7185 x2  1 V 2.65, 1 Cr 2.70
Te 0.2905 0.5896 0.1854 x2  1 V 2.72, 1 Cr 2.75, 1 Te 2.81
Te 0.4101 0.1028 0.6954 x2  1 Cr 2.70, 1 V 2.72, 1 Te 2.90

Output
Its magnetization is 4.0 μB per cell. The volume comes out at 27.7 Å³ per atom. For the energy, the calculation gives -4.790 eV/atom. Its formation energy (no corrections) is -91 meV per atom.


Record 7
The following is a DFT calculation (PBE) of crystalline V2CrTe at its relaxed geometry.

Cell lengths 3.7817, 3.7817, 18.9320 Å; angles 90.00, 90.00, 90.00 degrees
With the nearest neighbours (Å) after each atom.
Space group I-42d (No. 122)
Symmetry-distinct sites (fractional):
V 0.2468 0.2500 0.1250 x8  4 V 2.66-2.69, 2 Te 2.71, 2 Cr 2.72
Cr 0.0000 0.0000 0.5000 x4  4 Te 2.67, 4 V 2.72
Te 0.0000 0.0000 0.0000 x4  4 Cr 2.67, 4 V 2.71

Output
Its magnetization is 8.8 μB per cell. The volume comes out at 16.9 Å³ per atom. For the energy, the calculation gives -7.187 eV/atom. Its formation energy (no corrections) is 563 meV per atom.


Record 8
The following is a DFT calculation (PBE) of crystalline VCrTe3 at its relaxed geometry.

Cell lengths 6.4840, 3.6736, 11.3955 Å; angles 90.00, 101.60, 90.00 degrees
With the nearest neighbours (Å) after each atom.
Space group P2_1/m (No. 11)
Symmetry-distinct sites (fractional):
V 0.0778 0.2500 0.2252 x2  5 Te 2.61-2.69
Cr 0.4461 0.7500 0.3440 x2  5 Te 2.72-2.80
Te 0.2259 0.2500 0.7786 x2  2 V 2.69, 1 Cr 2.77
Te 0.2394 0.2500 0.4540 x2  1 V 2.61, 3 Cr 2.72-2.75
Te 0.2420 0.7500 0.1027 x2  2 V 2.66, 1 Cr 2.80

Output
The calculation puts the excess energy over the best structure of this formula in the dataset at 0.000 eV per atom. Its magnetization is 4.3 μB per cell. The volume comes out at 26.6 Å³ per atom. For the energy, the calculation gives -5.681 eV/atom. Its formation energy (no corrections) is -48 meV per atom.